Entry 1:
The following is a DFT calculation (GGA-PBE) of a relaxed structure of BeAl2SiI.

Summary:
Total magnetization   0.00 Bohr magnetons per cell
D(E_F)   3.84 states/eV/f.u.
Uncorrected formation energy   1.764 eV per atom
E_tot   -9.36 eV for the cell shown

Cell: 5.791 5.791 5.357 Å, 90.00 90.00 90.00°
Space group P4/mmm (No. 123)
Inequivalent atoms, fractional coordinates:
Be (0.000, 0.000, 0.000)
Al (0.000, 0.500, 0.500)
Si (0.500, 0.500, 0.000)
I (0.500, 0.500, 0.500)


Entry 2:
The following is a DFT calculation (GGA-PBE) of a relaxed structure of BeAlTeI2.

Summary:
Total magnetization   0.00 Bohr magnetons per cell
D(E_F)   0.57 states/eV/f.u.
Uncorrected formation energy   0.217 eV per atom
E_tot   -12.62 eV for the cell shown

Cell: 5.340 5.340 5.067 Å, 90.00 90.00 90.00°
Space group P4/mmm (No. 123)
Inequivalent atoms, fractional coordinates:
Be (0.000, 0.000, 0.000)
Al (0.500, 0.500, 0.500)
Te (0.000, 0.000, 0.500)
I (0.000, 0.500, 0.000)


Entry 3:
The following is a DFT calculation (GGA-PBE) of a relaxed structure of BeAl2TeI.

Summary:
Total magnetization   0.00 Bohr magnetons per cell
D(E_F)   2.06 states/eV/f.u.
Uncorrected formation energy   0.432 eV per atom
E_tot   -13.74 eV for the cell shown

Cell: 4.733 4.733 5.329 Å, 90.00 90.00 90.00°
Space group P4/mmm (No. 123)
Inequivalent atoms, fractional coordinates:
Be (0.000, 0.000, 0.000)
Al (0.000, 0.500, 0.000)
Te (0.500, 0.500, 0.500)
I (0.000, 0.000, 0.500)


Entry 4:
The following is a DFT calculation (GGA-PBE) of a relaxed structure of BeAlTe2I.

Summary:
Total magnetization   0.00 Bohr magnetons per cell
D(E_F)   4.78 states/eV/f.u.
Uncorrected formation energy   0.681 eV per atom
E_tot   -11.90 eV for the cell shown

Cell: 5.390 5.390 5.420 Å, 90.00 90.00 90.00°
Space group P4/mmm (No. 123)
Inequivalent atoms, fractional coordinates:
Be (0.000, 0.000, 0.000)
Al (0.500, 0.500, 0.500)
Te (0.000, 0.500, 0.500)
I (0.500, 0.500, 0.000)


Entry 5:
The following is a DFT calculation (GGA-PBE) of a relaxed structure of BeAlTeI2.

Summary:
Total magnetization   0.00 Bohr magnetons per cell
D(E_F)   2.22 states/eV/f.u.
Uncorrected formation energy   0.547 eV per atom
E_tot   -10.98 eV for the cell shown

Cell: 5.483 5.483 5.495 Å, 90.00 90.00 90.00°
Space group P4/mmm (No. 123)
Inequivalent atoms, fractional coordinates:
Be (0.000, 0.000, 0.000)
Al (0.500, 0.500, 0.500)
Te (0.500, 0.500, 0.000)
I (0.000, 0.500, 0.500)


Entry 6:
The following is a DFT calculation (GGA-PBE) of a relaxed structure of BeAlTe2I.

Summary:
Total magnetization   0.00 Bohr magnetons per cell
D(E_F)   3.00 states/eV/f.u.
Uncorrected formation energy   0.324 eV per atom
E_tot   -13.68 eV for the cell shown

Cell: 5.029 5.029 5.438 Å, 90.00 90.00 90.00°
Space group P4/mmm (No. 123)
Inequivalent atoms, fractional coordinates:
Be (0.000, 0.000, 0.000)
Al (0.500, 0.500, 0.500)
Te (0.000, 0.500, 0.000)
I (0.000, 0.000, 0.500)